Record 1
First-principles (GGA+U) data for a relaxed structure of Pm2NdMoO8, as listed in the Alexandria database.

For the total energy, the calculation gives -183.61 eV for the cell shown. The calculation puts the size of the total moment at 0.970 μB/f.u. The density of states at the Fermi level is 6.226 states/eV/f.u.

Unit cell a=7.3137 b=7.3606 c=7.0404 alpha=90.00 beta=90.00 gamma=90.00
Space group Cmmm (No. 65)
Symmetry-distinct sites (fractional):
Pm (0.0000, 0.0000, 0.2455) [4 per cell]
Nd (0.0000, 0.5000, 0.5000) [2 per cell]
Mo (0.0000, 0.5000, 0.0000) [2 per cell]
O (0.0000, 0.3201, 0.2044) [8 per cell]
O (0.1890, 0.0000, 0.5000) [4 per cell]
O (0.2332, 0.0000, 0.0000) [4 per cell]

***

Record 2
First-principles (GGA+U) data for a relaxed structure of PrNdMo2O8, as listed in the Alexandria database.

For the total energy, the calculation gives -185.37 eV for the cell shown. The calculation puts the size of the total moment at 2.000 μB/f.u.

Unit cell a=5.3983 b=5.3983 c=11.6251 alpha=90.00 beta=90.00 gamma=90.00
Space group I-4 (No. 82)
Symmetry-distinct sites (fractional):
Pr (0.0000, 0.0000, 0.0000) [2 per cell]
Nd (0.0000, 0.5000, 0.7500) [2 per cell]
Mo (0.0000, 0.0000, 0.5000) [2 per cell]
Mo (0.0000, 0.5000, 0.2500) [2 per cell]
O (0.1599, 0.2556, 0.5813) [8 per cell]
O (0.1628, 0.7548, 0.1694) [8 per cell]

***

Record 3
First-principles (GGA+U) data for a relaxed structure of Rb3Nd3MoO8, as listed in the Alexandria database.

For the total energy, the calculation gives -199.81 eV for the cell shown. The calculation puts the size of the total moment at 2.000 μB/f.u. The density of states at the Fermi level is 0.000 states/eV/f.u.

Unit cell a=12.2650 b=7.1292 c=7.7968 alpha=90.00 beta=121.75 gamma=90.00
Space group C2/m (No. 12)
Symmetry-distinct sites (fractional):
Rb (0.0000, 0.0000, 0.0000) [2 per cell]
Rb (0.2500, 0.2500, 0.0000) [4 per cell]
Nd (0.0000, 0.5000, 0.5000) [2 per cell]
Nd (0.2500, 0.2500, 0.5000) [4 per cell]
Mo (0.0000, 0.0000, 0.5000) [2 per cell]
O (0.0198, 0.2268, 0.3343) [8 per cell]
O (0.2026, 0.0000, 0.6648) [4 per cell]
O (0.2273, 0.5000, 0.6793) [4 per cell]

***

Record 4
First-principles (GGA+U) data for a relaxed structure of RbNdMoO5, as listed in the Alexandria database.

For the total energy, the calculation gives -221.65 eV for the cell shown. The calculation puts the size of the total moment at 0.000 μB/f.u.

Unit cell a=8.0287 b=10.5964 c=8.4357 alpha=90.00 beta=114.91 gamma=90.00
Space group C2/c (No. 15)
Symmetry-distinct sites (fractional):
Rb (0.0000, 0.1776, 0.2500) [4 per cell]
Nd (0.0000, 0.5000, 0.0000) [4 per cell]
Mo (0.0000, 0.1843, 0.7500) [4 per cell]
O (0.0000, 0.4289, 0.2500) [4 per cell]
O (0.0849, 0.2830, 0.6258) [8 per cell]
O (0.1791, 0.0835, 0.8956) [8 per cell]